[1]
Density functional theory data (PBE) for NaSmFeTe3 after structural relaxation.

Unit cell a=12.1841 b=4.4328 c=12.8623 alpha=90.00 beta=90.00 gamma=90.00
Closest atoms and distances in Å follow each position.
Fractional coordinates of all 24 atoms:
Na: 0.1956 0.2500 0.0118  7 Te 3.24-3.61, 2 Fe 3.49
Na: 0.3044 0.7500 0.5118  7 Te 3.24-3.61, 2 Fe 3.49
Na: 0.6956 0.2500 0.4882  7 Te 3.24-3.61, 2 Fe 3.49
Na: 0.8044 0.7500 0.9882  7 Te 3.24-3.61, 2 Fe 3.49
Sm: 0.0295 0.2500 0.3104  7 Te 3.15-3.39
Sm: 0.4705 0.7500 0.8104  7 Te 3.15-3.39
Sm: 0.5295 0.2500 0.1896  7 Te 3.15-3.39
Sm: 0.9705 0.7500 0.6896  7 Te 3.15-3.39
Fe: 0.2486 0.2500 0.7147  4 Te 2.59-2.64
Fe: 0.2514 0.7500 0.2147  4 Te 2.59-2.64
Fe: 0.7486 0.2500 0.7853  4 Te 2.59-2.64
Fe: 0.7514 0.7500 0.2853  4 Te 2.59-2.64
Te: 0.0546 0.7500 0.1384  1 Fe 2.59
Te: 0.1030 0.2500 0.5648  1 Fe 2.62
Te: 0.2084 0.7500 0.8192  2 Fe 2.64
Te: 0.2916 0.2500 0.3192  2 Fe 2.64
Te: 0.3970 0.7500 0.0648  1 Fe 2.62
Te: 0.4454 0.2500 0.6384  1 Fe 2.59
Te: 0.5546 0.7500 0.3616  1 Fe 2.59
Te: 0.6030 0.2500 0.9352  1 Fe 2.62
Te: 0.7084 0.7500 0.6808  2 Fe 2.64
Te: 0.7916 0.2500 0.1808  2 Fe 2.64
Te: 0.8970 0.7500 0.4352  1 Fe 2.62
Te: 0.9454 0.2500 0.8616  1 Fe 2.59

## Properties
Volume in Å³/cell: 694.7
Total magnetic moment in μB/atom: 0.666
Calculated density in Mg/m³: 5.851
Electronic total energy in eV/atom: -4.72
ΔE to the lowest computed polymorph in meV per atom: 52
Space group: Pnma, No. 62



[2]
Density functional theory data (PBE) for NaFe3Sn5 after structural relaxation.

Unit cell a=5.2157 b=5.2157 c=8.2754 alpha=90.00 beta=90.00 gamma=120.00
Closest atoms and distances in Å follow each position.
Fractional coordinates of all 9 atoms:
Na: 0.0000 0.0000 0.0000  12 Sn 3.52
Fe: 0.0000 0.5000 0.5000  6 Sn 2.61-2.77, 4 Fe 2.61
Fe: 0.5000 0.0000 0.5000  4 Fe 2.61, 6 Sn 2.61-2.77
Fe: 0.5000 0.5000 0.5000  6 Sn 2.61-2.77, 4 Fe 2.61
Sn: 0.0000 0.0000 0.5000  6 Fe 2.61
Sn: 0.3333 0.6667 0.2192  3 Fe 2.77, 3 Sn 3.01
Sn: 0.3333 0.6667 0.7808  3 Fe 2.77, 3 Sn 3.01
Sn: 0.6667 0.3333 0.2192  3 Fe 2.77, 3 Sn 3.01
Sn: 0.6667 0.3333 0.7808  3 Fe 2.77, 3 Sn 3.01

## Properties
Volume in Å³/cell: 195.0
Total magnetic moment in μB/atom: 0.687
Calculated density in Mg/m³: 6.678
Electronic total energy in eV/atom: -5.17
Space group: P6/mmm, No. 191



[3]
Density functional theory data (PBE) for NaFeSn after structural relaxation.

Unit cell a=4.5853 b=4.5853 c=4.5853 alpha=60.00 beta=60.00 gamma=60.00
Closest atoms and distances in Å follow each position.
Fractional coordinates of all 3 atoms:
Na: 0.0000 0.0000 0.0000  4 Fe 2.81
Fe: 0.2500 0.2500 0.2500  4 Sn 2.81, 4 Na 2.81
Sn: 0.5000 0.5000 0.5000  4 Fe 2.81

## Properties
Volume in Å³/cell: 68.2
Total magnetic moment in μB/atom: 0.960
Calculated density in Mg/m³: 4.812
Electronic total energy in eV/atom: -4.06
Space group: F-43m, No. 216



[4]
Density functional theory data (PBE) for NaFeSn after structural relaxation.

Unit cell a=4.6799 b=4.6799 c=4.6799 alpha=60.00 beta=60.00 gamma=60.00
Closest atoms and distances in Å follow each position.
Fractional coordinates of all 3 atoms:
Na: 0.0000 0.0000 0.0000  4 Fe 2.87, 4 Sn 2.87
Fe: 0.7500 0.7500 0.7500  4 Na 2.87
Sn: 0.2500 0.2500 0.2500  4 Na 2.87

## Properties
Volume in Å³/cell: 72.5
Total magnetic moment in μB/atom: 1.052
Calculated density in Mg/m³: 4.526
Electronic total energy in eV/atom: -3.58
Space group: F-43m, No. 216



[5]
Density functional theory data (PBE) for NaSrFe after structural relaxation.

Unit cell a=5.2426 b=5.2426 c=5.2426 alpha=60.00 beta=60.00 gamma=60.00
Closest atoms and distances in Å follow each position.
Fractional coordinates of all 3 atoms:
Na: 0.0000 0.0000 0.0000  4 Sr 3.21
Sr: 0.7500 0.7500 0.7500  4 Fe 3.21, 4 Na 3.21
Fe: 0.5000 0.5000 0.5000  4 Sr 3.21

## Properties
Volume in Å³/cell: 101.9
Total magnetic moment in μB/atom: 0.941
Calculated density in Mg/m³: 2.713
Electronic total energy in eV/atom: -2.69
Space group: F-43m, No. 216



[6]
Density functional theory data (PBE) for NaSrFeTc after structural relaxation.

Unit cell a=5.0914 b=5.0914 c=5.0914 alpha=60.00 beta=60.00 gamma=60.00
Closest atoms and distances in Å follow each position.
Fractional coordinates of all 4 atoms:
Na: 0.0000 0.0000 0.0000  4 Fe 3.12, 4 Tc 3.12
Sr: 0.5000 0.5000 0.5000  4 Fe 3.12, 4 Tc 3.12
Fe: 0.7500 0.7500 0.7500  4 Na 3.12, 4 Sr 3.12
Tc: 0.2500 0.2500 0.2500  4 Na 3.12, 4 Sr 3.12

## Properties
Volume in Å³/cell: 93.3
Total magnetic moment in μB/atom: 1.429
Calculated density in Mg/m³: 4.706
Electronic total energy in eV/atom: -4.14
ΔE to the lowest computed polymorph in meV per atom: 282
Space group: F-43m, No. 216



[7]
Density functional theory data (PBE) for NaSrFeTc after structural relaxation.

Unit cell a=4.8434 b=4.8434 c=4.8434 alpha=60.00 beta=60.00 gamma=60.00
Closest atoms and distances in Å follow each position.
Fractional coordinates of all 4 atoms:
Na: 0.0000 0.0000 0.0000  4 Fe 2.97, 4 Sr 2.97
Sr: 0.7500 0.7500 0.7500  4 Na 2.97, 4 Tc 2.97
Fe: 0.2500 0.2500 0.2500  4 Tc 2.97, 4 Na 2.97
Tc: 0.5000 0.5000 0.5000  4 Sr 2.97, 4 Fe 2.97

## Properties
Volume in Å³/cell: 80.3
Total magnetic moment in μB/atom: 0.993
Calculated density in Mg/m³: 5.466
Electronic total energy in eV/atom: -4.43
ΔE to the lowest computed polymorph in meV per atom: 0
Space group: F-43m, No. 216



[8]
Density functional theory data (PBE) for NaSrFeTc after structural relaxation.

Unit cell a=4.8655 b=4.8655 c=4.8655 alpha=60.00 beta=60.00 gamma=60.00
Closest atoms and distances in Å follow each position.
Fractional coordinates of all 4 atoms:
Na: 0.0000 0.0000 0.0000  4 Tc 2.98, 4 Sr 2.98
Sr: 0.7500 0.7500 0.7500  4 Fe 2.98, 4 Na 2.98
Fe: 0.5000 0.5000 0.5000  4 Tc 2.98, 4 Sr 2.98
Tc: 0.2500 0.2500 0.2500  4 Fe 2.98, 4 Na 2.98

## Properties
Volume in Å³/cell: 81.4
Total magnetic moment in μB/atom: 1.082
Calculated density in Mg/m³: 5.392
Electronic total energy in eV/atom: -4.42
ΔE to the lowest computed polymorph in meV per atom: 9
Space group: F-43m, No. 216



[9]
Density functional theory data (PBE) for NaTaFeTe3 after structural relaxation.

Unit cell a=8.0340 b=8.0340 c=10.1339 alpha=90.00 beta=90.00 gamma=153.31
Closest atoms and distances in Å follow each position.
Fractional coordinates of all 12 atoms:
Na: 0.2424 0.7576 0.7500  6 Te 3.21-3.26
Na: 0.7576 0.2424 0.2500  6 Te 3.21-3.26
Ta: 0.0000 0.0000 0.0000  6 Te 2.82-2.87
Ta: 0.0000 0.0000 0.5000  6 Te 2.82-2.87
Fe: 0.4733 0.5267 0.2500  4 Te 2.54-2.56
Fe: 0.5267 0.4733 0.7500  4 Te 2.54-2.56
Te: 0.0860 0.9140 0.2500  2 Fe 2.56
Te: 0.3690 0.6310 0.0573  1 Fe 2.54, 2 Ta 2.82
Te: 0.3690 0.6310 0.4427  1 Fe 2.54, 2 Ta 2.82
Te: 0.6310 0.3690 0.5573  1 Fe 2.54, 2 Ta 2.82
Te: 0.6310 0.3690 0.9427  1 Fe 2.54, 2 Ta 2.82
Te: 0.9140 0.0860 0.7500  2 Fe 2.56

## Properties
Volume in Å³/cell: 293.8
Total magnetic moment in μB/atom: 0.336
Calculated density in Mg/m³: 7.264
Electronic total energy in eV/atom: -5.48
Space group: Cmcm, No. 63



[10]
Density functional theory data (PBE) for NaTbFe after structural relaxation.

Unit cell a=4.7854 b=4.7854 c=4.7854 alpha=60.00 beta=60.00 gamma=60.00
Closest atoms and distances in Å follow each position.
Fractional coordinates of all 3 atoms:
Na: 0.0000 0.0000 0.0000  4 Fe 2.93
Tb: 0.5000 0.5000 0.5000  4 Fe 2.93
Fe: 0.2500 0.2500 0.2500  4 Tb 2.93, 4 Na 2.93

## Properties
Volume in Å³/cell: 77.5
Total magnetic moment in μB/atom: 0.615
Calculated density in Mg/m³: 5.095
Electronic total energy in eV/atom: -3.94
Space group: F-43m, No. 216



[11]
Density functional theory data (PBE) for NaFeTc after structural relaxation.

Unit cell a=4.0873 b=4.0873 c=4.0873 alpha=60.00 beta=60.00 gamma=60.00
Closest atoms and distances in Å follow each position.
Fractional coordinates of all 3 atoms:
Na: 0.0000 0.0000 0.0000  4 Fe 2.50
Fe: 0.2500 0.2500 0.2500  4 Tc 2.50, 4 Na 2.50
Tc: 0.5000 0.5000 0.5000  4 Fe 2.50

## Properties
Volume in Å³/cell: 48.3
Total magnetic moment in μB/atom: 0.318
Calculated density in Mg/m³: 6.081
Electronic total energy in eV/atom: -5.43
ΔE to the lowest computed polymorph in meV per atom: 0
Space group: F-43m, No. 216



[12]
Density functional theory data (PBE) for NaFeTc after structural relaxation.

Unit cell a=4.2923 b=4.2923 c=4.2923 alpha=60.00 beta=60.00 gamma=60.00
Closest atoms and distances in Å follow each position.
Fractional coordinates of all 3 atoms:
Na: 0.0000 0.0000 0.0000  4 Fe 2.63, 4 Tc 2.63
Fe: 0.7500 0.7500 0.7500  4 Na 2.63
Tc: 0.2500 0.2500 0.2500  4 Na 2.63

## Properties
Volume in Å³/cell: 55.9
Total magnetic moment in μB/atom: 1.772
Calculated density in Mg/m³: 5.251
Electronic total energy in eV/atom: -4.65
ΔE to the lowest computed polymorph in meV per atom: 776
Space group: F-43m, No. 216



Among the records above, which one has the highest calculated density?
NaTaFeTe3



Which value of total magnetic moment does entry 7 give?
0.993 μB/atom